No. 1
PrTh2TcC4 | GGA-PBE | relaxed

```
data_PrTh2TcC4
_space_group_name_H-M_alt 'P 1'
_space_group_IT_number 1
_cell_length_a 6.4614
_cell_length_b 6.4614
_cell_length_c 12.6685
_cell_angle_alpha 90.00
_cell_angle_beta 90.00
_cell_angle_gamma 147.02
loop_
_space_group_symop_operation_xyz
'x,y,z'
loop_
_atom_site_label
_atom_site_fract_x
_atom_site_fract_y
_atom_site_fract_z
_atom_site_occupancy
Pr1 0.0974 0.9026 0.7500 1
Pr2 0.9026 0.0974 0.2500 1
Th1 0.3683 0.6317 0.5416 1
Th2 0.3683 0.6317 0.9584 1
Th3 0.6317 0.3683 0.0416 1
Th4 0.6317 0.3683 0.4584 1
Tc1 0.1688 0.8312 0.2500 1
Tc2 0.8312 0.1688 0.7500 1
C1 0.0000 0.0000 0.0000 1
C2 0.0000 0.0000 0.5000 1
C3 0.2648 0.7352 0.1323 1
C4 0.2648 0.7352 0.3677 1
C5 0.4099 0.5901 0.7500 1
C6 0.5901 0.4099 0.2500 1
C7 0.7352 0.2648 0.6323 1
C8 0.7352 0.2648 0.8677 1
```

Computed properties:
The calculation puts the formation energy from the elements at -0.037 eV/atom. As for the crystal system: orthorhombic. The calculated density comes out at 8.662 g cm⁻³. As for the space-group type: Cmcm (63).



No. 2
Mg3Ga6Hg2 | GGA-PBE | relaxed

```
data_Mg3Ga6Hg2
_space_group_name_H-M_alt 'P 1'
_space_group_IT_number 1
_cell_length_a 8.2264
_cell_length_b 8.2264
_cell_length_c 4.0829
_cell_angle_alpha 90.00
_cell_angle_beta 90.00
_cell_angle_gamma 120.00
loop_
_space_group_symop_operation_xyz
'x,y,z'
loop_
_atom_site_label
_atom_site_fract_x
_atom_site_fract_y
_atom_site_fract_z
_atom_site_occupancy
Mg1 0.0000 0.4300 0.0000 1
Mg2 0.4300 0.0000 0.0000 1
Mg3 0.5700 0.5700 0.0000 1
Ga1 0.0000 0.1969 0.5000 1
Ga2 0.0000 0.7598 0.0000 1
Ga3 0.1969 0.0000 0.5000 1
Ga4 0.2402 0.2402 0.0000 1
Ga5 0.7598 0.0000 0.0000 1
Ga6 0.8031 0.8031 0.5000 1
Hg1 0.3333 0.6667 0.5000 1
Hg2 0.6667 0.3333 0.5000 1
```

Computed properties:
The calculation puts the formation energy from the elements at -0.030 eV/atom. As for the crystal system: hexagonal. The calculated density comes out at 6.193 g cm⁻³. As for the space-group type: P-62m (189).



No. 3
Rb2NpCu2S6 | GGA-PBE | relaxed

```
data_Rb2NpCu2S6
_space_group_name_H-M_alt 'P 1'
_space_group_IT_number 1
_cell_length_a 7.7921
_cell_length_b 7.7921
_cell_length_c 7.7921
_cell_angle_alpha 55.31
_cell_angle_beta 55.31
_cell_angle_gamma 55.31
loop_
_space_group_symop_operation_xyz
'x,y,z'
loop_
_atom_site_label
_atom_site_fract_x
_atom_site_fract_y
_atom_site_fract_z
_atom_site_occupancy
Rb1 0.2296 0.2296 0.2296 1
Rb2 0.7704 0.7704 0.7704 1
Np1 0.0000 0.0000 0.0000 1
Cu1 0.4128 0.4128 0.4128 1
Cu2 0.5872 0.5872 0.5872 1
S1 0.2377 0.2377 0.7581 1
S2 0.2377 0.7581 0.2377 1
S3 0.2419 0.7623 0.7623 1
S4 0.7581 0.2377 0.2377 1
S5 0.7623 0.2419 0.7623 1
S6 0.7623 0.7623 0.2419 1
```

Computed properties:
The value obtained for the uncorrected formation energy is -719 meV per atom. As for the crystal system: trigonal. The calculated density comes out at 4.053 g cm⁻³. As for the space-group type: R-3m (166).



No. 4
HgMo2Os | GGA-PBE | relaxed

```
data_HgMo2Os
_space_group_name_H-M_alt 'P 1'
_space_group_IT_number 1
_cell_length_a 2.8470
_cell_length_b 4.0541
_cell_length_c 5.7341
_cell_angle_alpha 90.00
_cell_angle_beta 90.00
_cell_angle_gamma 90.00
loop_
_space_group_symop_operation_xyz
'x,y,z'
loop_
_atom_site_label
_atom_site_fract_x
_atom_site_fract_y
_atom_site_fract_z
_atom_site_occupancy
Hg1 0.0000 0.0000 0.0000 1
Mo1 0.5000 0.5000 0.2832 1
Mo2 0.5000 0.5000 0.7168 1
Os1 0.0000 0.0000 0.5000 1
```

Computed properties:
The calculation puts the formation energy from the elements at 0.343 eV/atom. As for the crystal system: orthorhombic. The calculated density comes out at 14.620 g cm⁻³. As for the space-group type: Pmmm (47).